(1)
DFT (meta-GGA SCAN) results for a crystal of Ca2CrSi relaxed with PBEsol.

extended XYZ file:
```
4
Lattice="4.558 0.000 0.000 0.000 4.558 0.000 0.000 0.000 4.267" Properties=species:S:1:pos:R:3 pbc="T T T"
Ca 0.000 2.279 0.000
Ca 2.279 0.000 0.000
Cr 0.000 0.000 2.133
Si 2.279 2.279 2.133
```

## Properties
Energy relative to the elements, uncorrected = -9 kJ/mol of formula units
V = 89 Å³ per cell
N(E_F) = 1.63 states/eV/f.u.
Spin magnetization = 4.05 μB/f.u.
SG = P4/mmm

(2)
DFT (meta-GGA SCAN) results for a crystal of CaCr2Si relaxed with PBEsol.

extended XYZ file:
```
4
Lattice="3.793 0.000 0.000 0.000 3.793 0.000 0.000 0.000 4.139" Properties=species:S:1:pos:R:3 pbc="T T T"
Ca 0.000 0.000 0.000
Cr 0.000 1.897 2.069
Cr 1.897 0.000 2.069
Si 1.897 1.897 0.000
```

## Properties
Energy relative to the elements, uncorrected = 205 kJ/mol of formula units
Polymorph energy (0 for the lowest one) = 184 kJ/mol of formula units
V = 60 Å³ per cell
N(E_F) = 1.56 states/eV/f.u.
Spin magnetization = 7.62 μB/f.u.
SG = P4/mmm

(3)
DFT (meta-GGA SCAN) results for a crystal of CaCrSn3 relaxed with PBEsol.

extended XYZ file:
```
5
Lattice="5.043 0.000 0.000 0.000 5.043 0.000 0.000 0.000 5.043" Properties=species:S:1:pos:R:3 pbc="T T T"
Ca 0.000 0.000 0.000
Cr 2.522 2.522 2.522
Sn 0.000 2.522 2.522
Sn 2.522 0.000 2.522
Sn 2.522 2.522 0.000
```

## Properties
Formation enthalpy at 0 K = -0.4 eV per formula unit
V = 128 Å³ per cell
N(E_F) = 2.09 states/eV/f.u.
Spin magnetization = 2.37 μB/f.u.
SG = Pm-3m

(4)
DFT (meta-GGA SCAN) results for a crystal of SrCaCr2 relaxed with PBEsol.

extended XYZ file:
```
4
Lattice="0.000 3.830 3.830 3.830 0.000 3.830 3.830 3.830 0.000" Properties=species:S:1:pos:R:3 pbc="T T T"
Sr 0.000 0.000 0.000
Ca 3.830 3.830 3.830
Cr 1.915 1.915 1.915
Cr 5.745 5.745 5.745
```

## Properties
Formation enthalpy at 0 K = 2.0 eV per formula unit
Polymorph energy (0 for the lowest one) = 58 kJ/mol of formula units
V = 112 Å³ per cell
N(E_F) = 2.95 states/eV/f.u.
Spin magnetization = 10.13 μB/f.u.
SG = Fm-3m